Entry 1:
SiMo2Cl after structural relaxation, computed with PBE.

Calculated values
The formation energy from raw total energies is 427 meV/atom. The raw total energy comes out at -6.806 eV per atom. The energy above the lowest structure with this stoichiometry is 432.0 meV/atom. As for the volume: 234.5 Å³/cell.

Lattice parameters (Å, degrees): 6.166 6.166 6.166 90.00 90.00 90.00
Space group Fm-3m (No. 225)
Asymmetric unit:
Si: 0.000 0.000 0.000 (multiplicity 4)
Mo: 0.250 0.250 0.250 (multiplicity 8)
Cl: 0.000 0.000 0.500 (multiplicity 4)

Entry 2:
ZrMn2Ag after structural relaxation, computed with PBE.

Calculated values
The calculated formation energy is 368.3 meV/atom. The raw total energy comes out at -7.066 eV per atom. The energy above the lowest structure with this stoichiometry is 280.4 meV/atom. As for the volume: 214.1 Å³/cell.

Lattice parameters (Å, degrees): 2.9837 2.9837 27.7645 90.00 90.00 120.00
Space group R-3m (No. 166, hexagonal axes)
Asymmetric unit:
Zr: 0.0000 0.0000 0.0000 (multiplicity 3)
Mn: 0.0000 0.0000 0.2483 (multiplicity 6)
Ag: 0.0000 0.0000 0.5000 (multiplicity 3)

Entry 3:
Ca3Ni6P5 after structural relaxation, computed with PBE.

Calculated values
The calculated formation energy is -790.2 meV/atom. The raw total energy comes out at -5.629 eV per atom. As for the volume: 417.8 Å³/cell.

Lattice parameters (Å, degrees): 3.767 11.625 9.539 90.00 90.00 90.00
Space group Pmmn (No. 59, origin choice 2)
Asymmetric unit:
Ca: 0.250 0.096 0.250 (multiplicity 4)
Ca: 0.250 0.750 0.244 (multiplicity 2)
Ni: 0.250 0.058 0.894 (multiplicity 4)
Ni: 0.250 0.250 0.005 (multiplicity 2)
Ni: 0.250 0.250 0.523 (multiplicity 2)
Ni: 0.250 0.579 0.490 (multiplicity 4)
P: 0.250 0.076 0.645 (multiplicity 4)
P: 0.250 0.625 0.987 (multiplicity 4)
P: 0.250 0.750 0.603 (multiplicity 2)

Entry 4:
Tb3TlRh2 after structural relaxation, computed with PBE.

Calculated values
The calculated formation energy is -673.2 meV/atom. The raw total energy comes out at -5.833 eV per atom. As for the volume: 138.6 Å³/cell.

Lattice parameters (Å, degrees): 3.400 3.400 11.987 90.00 90.00 90.00
Space group P4/mmm (No. 123)
Asymmetric unit:
Tb: 0.000 0.000 0.000 (multiplicity 1)
Tb: 0.000 0.000 0.291 (multiplicity 2)
Tl: 0.500 0.500 0.500 (multiplicity 1)
Rh: 0.500 0.500 0.150 (multiplicity 2)